# 1
Below is a relaxed FeCuMo crystal, with properties calculated at the GGA-PBEsol level.

It has space group Imm2 (No. 44), with a = 2.535 Å, b = 3.795 Å, c = 7.668 Å, α = 90.00°, β = 90.00° and γ = 90.00°. The asymmetric unit holds Fe at (0.000, 0.000, 0.000), Cu at (0.000, 0.000, 0.660) and Mo at (0.000, 0.000, 0.329).

The formation energy from the elements is 0.58 eV/f.u. The calculation puts the calculated total energy at -8.1616 eV/atom. For the density, the calculation gives 9.695 g/cm3. For the density of states at the Fermi level, the calculation gives 2.0 states/eV/f.u.

***

# 2
Below is a relaxed FeCuMo2 crystal, with properties calculated at the GGA-PBEsol level.

It has space group Fm-3m (No. 225), with a = 5.965 Å, b = 5.965 Å, c = 5.965 Å, α = 90.00°, β = 90.00° and γ = 90.00°. The asymmetric unit holds Fe at (0.000, 0.000, 0.000), Cu at (0.000, 0.000, 0.500) and Mo at (0.250, 0.250, 0.250).

The formation energy from the elements is 1.51 eV/f.u. The calculation puts the calculated total energy at -8.8303 eV/atom. For the density, the calculation gives 9.742 g/cm3. For the density of states at the Fermi level, the calculation gives 4.5 states/eV/f.u.

***

# 3
Below is a relaxed FeCuMo2 crystal, with properties calculated at the GGA-PBEsol level.

It has space group I-4m2 (No. 119), with a = 3.758 Å, b = 3.758 Å, c = 7.514 Å, α = 90.00°, β = 90.00° and γ = 90.00°. The asymmetric unit holds Fe at (0.000, 0.000, 0.000), Cu at (0.000, 0.500, 0.750), Mo at (0.000, 0.000, 0.500) and Mo at (0.000, 0.500, 0.250).

The formation energy from the elements is 1.16 eV/f.u. The calculation puts the calculated total energy at -8.9184 eV/atom. For the density, the calculation gives 9.739 g/cm3. For the density of states at the Fermi level, the calculation gives 4.4 states/eV/f.u.